No. 1
The following is a DFT calculation (PBE) of crystalline V3Fe2Ru3 at its relaxed geometry.

abc: 6.5708 6.5708 2.7626
angles: 90.00 90.00 120.00
Last column: nearest neighbours and their distance in Å.
Space group P-62m (No. 189)
Asymmetric unit:
V: 0.0000 0.5904 0.0000 [3 per cell]  4 Fe 2.42
Fe: 0.3333 0.6667 0.5000 [2 per cell]  6 V 2.42, 3 Ru 2.59
Ru: 0.0000 0.2324 0.5000 [3 per cell]  2 Fe 2.59, 4 Ru 2.65-2.76, 6 V 2.72-2.73

Summary:
ΔH_f (0 K)	-0.038	eV per atom

***

No. 2
The following is a DFT calculation (PBE) of crystalline Ce7Mn3 at its relaxed geometry.

abc: 9.6288 9.6288 5.7283
angles: 90.00 90.00 120.00
Last column: nearest neighbours and their distance in Å.
Space group P6_3mc (No. 186)
Asymmetric unit:
Ce: 0.0782 0.5391 0.0000 [6 per cell]  2 Mn 2.88, 2 Ce 3.15
Ce: 0.1312 0.2624 0.3568 [6 per cell]  1 Mn 2.16
Ce: 0.3333 0.6667 0.4795 [2 per cell]  3 Mn 2.74
Mn: 0.1870 0.3740 0.6974 [6 per cell]  1 Ce 2.16

Summary:
ΔH_f (0 K)	0.070	eV per atom

***

No. 3
The following is a DFT calculation (PBE) of crystalline MnNb2H at its relaxed geometry.

abc: 2.9064 2.9064 6.0300
angles: 90.00 90.00 90.00
Last column: nearest neighbours and their distance in Å.
Space group P4/mmm (No. 123)
Asymmetric unit:
Mn: 0.0000 0.0000 0.0000 [1 per cell]  8 Nb 2.61, 4 Mn 2.91
Nb: 0.5000 0.5000 0.2675 [2 per cell]  4 H 2.49, 4 Mn 2.61
H: 0.0000 0.0000 0.5000 [1 per cell]  8 Nb 2.49

Summary:
calculated total energy	-31.6	eV per formula unit

***

No. 4
The following is a DFT calculation (PBE) of crystalline TlRhCl2 at its relaxed geometry.

abc: 4.0893 4.0893 11.8531
angles: 90.00 90.00 90.00
Last column: nearest neighbours and their distance in Å.
Space group I-4m2 (No. 119)
Asymmetric unit:
Tl: 0.0000 0.0000 0.0000 [2 per cell]  4 Cl 2.89
Rh: 0.0000 0.5000 0.2500 [2 per cell]  4 Cl 2.89
Cl: 0.0000 0.0000 0.5000 [2 per cell]  4 Tl 2.89
Cl: 0.0000 0.5000 0.7500 [2 per cell]  4 Rh 2.89

Summary:
E_form (uncorrected)	0.4	eV/f.u.

***

No. 5
The following is a DFT calculation (PBE) of crystalline In2Si3 at its relaxed geometry.

abc: 3.8194 3.8194 25.4147
angles: 90.00 90.00 120.00
Last column: nearest neighbours and their distance in Å.
Space group R-3m (No. 166, hexagonal axes)
Asymmetric unit:
In: 0.0000 0.0000 0.0987 [6 per cell]  6 Si 2.80-3.00
Si: 0.0000 0.0000 0.3146 [6 per cell]  3 Si 2.40
Si: 0.0000 0.0000 0.5000 [3 per cell]  6 In 2.80

Summary:
E_form (uncorrected)	1.7	eV/f.u.

***

No. 6
The following is a DFT calculation (PBE) of crystalline NbBMo2P at its relaxed geometry.

abc: 4.8663 4.8663 4.6546
angles: 90.00 90.00 90.00
Last column: nearest neighbours and their distance in Å.
Space group P4/mmm (No. 123)
Asymmetric unit:
Nb: 0.0000 0.0000 0.0000 [1 per cell]  2 P 2.33, 4 Mo 2.43
B: 0.5000 0.5000 0.5000 [1 per cell]  8 Mo 3.37, 4 P 3.44
Mo: 0.0000 0.5000 0.0000 [2 per cell]  2 Nb 2.43
P: 0.0000 0.0000 0.5000 [1 per cell]  2 Nb 2.33

Summary:
ΔH_f (0 K)	2.366	eV per atom

***

No. 7
The following is a DFT calculation (PBE) of crystalline Sr3ZnAu3 at its relaxed geometry.

abc: 11.5750 4.5591 15.8306
angles: 90.00 110.39 90.00
Last column: nearest neighbours and their distance in Å.
Space group C2/m (No. 12)
Asymmetric unit:
Sr: 0.0352 0.0000 0.3896 [4 per cell]  7 Au 3.27-3.54, 4 Zn 3.27-3.45
Sr: 0.1008 0.0000 0.9212 [4 per cell]  7 Au 3.28-3.40
Sr: 0.2483 0.0000 0.2334 [4 per cell]  6 Au 3.28-3.36, 2 Zn 3.51
Zn: 0.2423 0.5000 0.4001 [4 per cell]  4 Au 2.64-2.94
Au: 0.0419 0.5000 0.2405 [4 per cell]  1 Zn 2.77, 1 Au 2.97
Au: 0.1159 0.5000 0.0788 [4 per cell]  2 Au 2.96-2.97, 3 Sr 3.28-3.30
Au: 0.1400 0.5000 0.5457 [4 per cell]  3 Zn 2.64-2.94

Summary:
ΔH_f (0 K)	-0.689	eV per atom

***

No. 8
The following is a DFT calculation (PBE) of crystalline Ti6CoPb at its relaxed geometry.

abc: 8.8793 8.8793 6.3732
angles: 90.00 90.00 120.00
Last column: nearest neighbours and their distance in Å.
Space group R-3m (No. 166, hexagonal axes)
Asymmetric unit:
Ti: 0.0482 0.5241 0.2986 [18 per cell]  1 Co 2.35
Co: 0.0000 0.0000 0.5000 [3 per cell]  6 Ti 2.35
Pb: 0.0000 0.0000 0.0000 [3 per cell]  12 Ti 2.94-3.21, 2 Co 3.19

Summary:
ΔH_f (0 K)	0.135	eV per atom

***

No. 9
The following is a DFT calculation (PBE) of crystalline BaZr2Fe at its relaxed geometry.

abc: 3.2950 3.2948 9.2787
angles: 90.00 90.18 90.00
Last column: nearest neighbours and their distance in Å.
Space group P2/m (No. 10)
Asymmetric unit:
Ba: 0.0000 0.0000 0.0000 [1 per cell]  4 Ba 3.29-3.30
Zr: 0.4981 0.5000 0.6591 [2 per cell]  4 Fe 2.75-2.76, 1 Zr 2.95
Fe: 0.0000 0.0000 0.5000 [1 per cell]  8 Zr 2.75-2.76

Summary:
ΔH_f (0 K)	0.275	eV per atom

***

No. 10
The following is a DFT calculation (PBE) of crystalline Ac5SiGe2N at its relaxed geometry.

abc: 4.6401 19.4763 12.6650
angles: 90.00 90.00 90.00
Last column: nearest neighbours and their distance in Å.
Space group Cmc2_1 (No. 36)
Asymmetric unit:
Ac: 0.0000 0.0051 0.0000 [4 per cell]  1 N 2.38
Ac: 0.0000 0.1404 0.2305 [4 per cell]  1 Si 3.02, 2 Ge 3.34
Ac: 0.0000 0.1688 0.5940 [4 per cell]  1 N 2.58
Ac: 0.0000 0.2156 0.9182 [4 per cell]  2 Si 3.18, 3 Ge 3.32-3.46
Ac: 0.0000 0.4608 0.2488 [4 per cell]  2 N 2.52
Si: 0.0000 0.2952 0.2475 [4 per cell]  6 Ac 3.02-3.23
Ge: 0.0000 0.3786 0.5377 [4 per cell]  6 Ac 3.28-3.39
Ge: 0.0000 0.3932 0.9132 [4 per cell]  8 Ac 3.34-3.52
N: 0.0000 0.0459 0.6708 [4 per cell]  4 Ac 2.38-2.58

Summary:
E_form (uncorrected)	-6.4	eV/f.u.

***

No. 11
The following is a DFT calculation (PBE) of crystalline EuTmCu2 at its relaxed geometry.

abc: 3.5232 3.5232 7.0853
angles: 90.00 90.00 90.00
Last column: nearest neighbours and their distance in Å.
Space group P4/mmm (No. 123)
Asymmetric unit:
Eu: 0.0000 0.0000 0.0000 [1 per cell]  8 Cu 3.24, 4 Eu 3.52, 2 Tm 3.54
Tm: 0.0000 0.0000 0.5000 [1 per cell]  8 Cu 2.89
Cu: 0.5000 0.5000 0.2924 [2 per cell]  4 Tm 2.89, 1 Cu 2.94

Summary:
ΔH_f (0 K)	-0.186	eV per atom

***

No. 12
The following is a DFT calculation (PBE) of crystalline Ag3BIr at its relaxed geometry.

abc: 5.0746 5.0746 5.0746
angles: 90.00 90.00 90.00
Last column: nearest neighbours and their distance in Å.
Space group Pm-3m (No. 221)
Asymmetric unit:
Ag: 0.0000 0.0000 0.5000 [3 per cell]  2 Ir 2.54
B: 0.5000 0.5000 0.5000 [1 per cell]  12 Ag 3.59
Ir: 0.0000 0.0000 0.0000 [1 per cell]  6 Ag 2.54

Summary:
ΔH_f (0 K)	2.041	eV per atom

***

What did the eleventh record say?
The following is a DFT calculation (PBE) of crystalline EuTmCu2 at its relaxed geometry.

abc: 3.5232 3.5232 7.0853
angles: 90.00 90.00 90.00
Last column: nearest neighbours and their distance in Å.
Space group P4/mmm (No. 123)
Asymmetric unit:
Eu: 0.0000 0.0000 0.0000 [1 per cell]  8 Cu 3.24, 4 Eu 3.52, 2 Tm 3.54
Tm: 0.0000 0.0000 0.5000 [1 per cell]  8 Cu 2.89
Cu: 0.5000 0.5000 0.2924 [2 per cell]  4 Tm 2.89, 1 Cu 2.94

Summary:
ΔH_f (0 K)	-0.186	eV per atom